# PBE LaNd3, optimized geometry
# - energy of formation (meV/atom) = 13
# - relative energy among the computed polymorphs (meV/atom) = 0
data_LaNd3
_chemical_formula_sum 'La1 Nd3'
_cell_length_a 5.226
_cell_length_b 5.226
_cell_length_c 5.226
_cell_angle_alpha 90.00
_cell_angle_beta 90.00
_cell_angle_gamma 90.00
_space_group_name_H-M_alt 'P m -3 m'
_space_group_IT_number 221
_space_group_name_Hall '-P 4 2 3'
loop_
_atom_site_label
_atom_site_fract_x
_atom_site_fract_y
_atom_site_fract_z
La1 0.000 0.000 0.000
Nd1 0.000 0.500 0.500

***

# PBE MgBeCl, optimized geometry
# - relative energy among the computed polymorphs (meV/atom) = 450
# - uncorrected formation energy (eV/atom) = -0.111
data_MgBeCl
_chemical_formula_sum 'Mg4 Be4 Cl4'
_cell_length_a 3.063
_cell_length_b 5.804
_cell_length_c 16.802
_cell_angle_alpha 90.00
_cell_angle_beta 90.00
_cell_angle_gamma 90.00
_space_group_name_H-M_alt 'F m m 2'
_space_group_IT_number 42
_space_group_name_Hall 'F 2 -2'
loop_
_atom_site_label
_atom_site_fract_x
_atom_site_fract_y
_atom_site_fract_z
Mg1 0.000 0.000 0.000
Be1 0.000 0.000 0.364
Cl1 0.000 0.000 0.785

***

# PBE Tm4SeS3, optimized geometry
# - relative energy among the computed polymorphs (meV/atom) = 0
# - uncorrected formation energy (eV/atom) = -1.866
data_Tm4SeS3
_chemical_formula_sum 'Tm12 Se3 S9'
_cell_length_a 3.8817
_cell_length_b 3.8817
_cell_length_c 38.2361
_cell_angle_alpha 90.00
_cell_angle_beta 90.00
_cell_angle_gamma 120.00
_space_group_name_H-M_alt 'R -3 m'
_space_group_IT_number 166
_space_group_name_Hall '-R 3 2"'
loop_
_atom_site_label
_atom_site_fract_x
_atom_site_fract_y
_atom_site_fract_z
Tm1 0.0000 0.0000 0.1192
Tm2 0.0000 0.0000 0.3755
Se1 0.0000 0.0000 0.5000
S1 0.0000 0.0000 0.0000
S2 0.0000 0.0000 0.2523

***

# PBE KTaZn3, optimized geometry
# - energy of formation (meV/atom) = 1879
# - relative energy among the computed polymorphs (meV/atom) = 1173
data_KTaZn3
_chemical_formula_sum 'K1 Ta1 Zn3'
_cell_length_a 4.883
_cell_length_b 4.883
_cell_length_c 4.883
_cell_angle_alpha 90.00
_cell_angle_beta 90.00
_cell_angle_gamma 90.00
_space_group_name_H-M_alt 'P m -3 m'
_space_group_IT_number 221
_space_group_name_Hall '-P 4 2 3'
loop_
_atom_site_label
_atom_site_fract_x
_atom_site_fract_y
_atom_site_fract_z
K1 0.000 0.000 0.000
Ta1 0.500 0.500 0.500
Zn1 0.000 0.000 0.500

***

# PBE ScPtSe2, optimized geometry
# - relative energy among the computed polymorphs (meV/atom) = 0
# - uncorrected formation energy (eV/atom) = -0.998
data_ScPtSe2
_chemical_formula_sum 'Sc2 Pt2 Se4'
_cell_length_a 3.597
_cell_length_b 3.622
_cell_length_c 12.553
_cell_angle_alpha 90.00
_cell_angle_beta 90.00
_cell_angle_gamma 90.00
_space_group_name_H-M_alt 'A m m 2'
_space_group_IT_number 38
_space_group_name_Hall 'A 2 -2'
loop_
_atom_site_label
_atom_site_fract_x
_atom_site_fract_y
_atom_site_fract_z
Sc1 0.000 0.000 0.000
Pt1 0.500 0.000 0.195
Se1 0.000 0.000 0.665
Se2 0.500 0.000 0.412

***

# PBE KNiAsSe2, optimized geometry
# - relative energy among the computed polymorphs (meV/atom) = 0
# - uncorrected formation energy (eV/atom) = -0.157
data_KNiAsSe2
_chemical_formula_sum 'K1 Ni1 As1 Se2'
_cell_length_a 5.127
_cell_length_b 5.127
_cell_length_c 4.434
_cell_angle_alpha 90.00
_cell_angle_beta 90.00
_cell_angle_gamma 90.00
_space_group_name_H-M_alt 'P 4/m m m'
_space_group_IT_number 123
_space_group_name_Hall '-P 4 2'
loop_
_atom_site_label
_atom_site_fract_x
_atom_site_fract_y
_atom_site_fract_z
K1 0.000 0.000 0.000
Ni1 0.500 0.500 0.500
As1 0.500 0.500 0.000
Se1 0.000 0.500 0.500

***

# PBE NaSc3N, optimized geometry
# - relative energy among the computed polymorphs (meV/atom) = 0
# - uncorrected formation energy (eV/atom) = -0.433
data_NaSc3N
_chemical_formula_sum 'Na1 Sc3 N1'
_cell_length_a 4.589
_cell_length_b 4.589
_cell_length_c 4.589
_cell_angle_alpha 90.00
_cell_angle_beta 90.00
_cell_angle_gamma 90.00
_space_group_name_H-M_alt 'P m -3 m'
_space_group_IT_number 221
_space_group_name_Hall '-P 4 2 3'
loop_
_atom_site_label
_atom_site_fract_x
_atom_site_fract_y
_atom_site_fract_z
Na1 0.000 0.000 0.000
Sc1 0.000 0.500 0.500
N1 0.500 0.500 0.500

***

# PBE SrNi2P, optimized geometry
# - energy of formation (meV/atom) = 143
data_SrNi2P
_chemical_formula_sum 'Sr4 Ni8 P4'
_cell_length_a 6.332
_cell_length_b 6.332
_cell_length_c 6.332
_cell_angle_alpha 90.00
_cell_angle_beta 90.00
_cell_angle_gamma 90.00
_space_group_name_H-M_alt 'F m -3 m'
_space_group_IT_number 225
_space_group_name_Hall '-F 4 2 3'
loop_
_atom_site_label
_atom_site_fract_x
_atom_site_fract_y
_atom_site_fract_z
Sr1 0.000 0.000 0.000
Ni1 0.250 0.250 0.250
P1 0.000 0.000 0.500

***

N(E_F) in states/eV/atom, matching the order above: 1.785 0.178 0.360 0.551 0.342 0.696 1.400 1.116
E_tot in eV/atom, matching the order above: -4.7951 -2.5005 -6.0855 -1.4758 -5.8331 -3.8563 -6.1605 -4.5201